TbZn5Pt2 (PBE-GGA, optimized geometry); density of states at the Fermi level = 3.39 states/eV per cell; calculated formation energy = -0.534 eV per atom; calculated volume = 141.7 Å³/cell; magnetic moment = 0.0 Bohr magnetons per cell; space-group type = Immm
1.0
-1.9568 -0.7528 3.1346
-4.7325 -4.1211 -1.6756
1.8107 -5.9157 1.9781
Zn Pt Tb
5 2 1
direct
0.0000 0.5000 0.5000 Zn
0.6437 0.5458 0.1668 Zn
0.3563 0.4542 0.8332 Zn
0.3563 0.8332 0.4542 Zn
0.6437 0.1668 0.5458 Zn
0.2647 0.2353 0.2353 Pt
0.7353 0.7647 0.7647 Pt
0.0000 0.0000 0.0000 Tb

=====

Tb2Zn5Pt (PBE-GGA, optimized geometry); density of states at the Fermi level = 8.43 states/eV per cell; calculated formation energy = -0.520 eV per atom; calculated volume = 303.7 Å³/cell; magnetic moment = 0.0 Bohr magnetons per cell; space-group type = Cmcm
1.0
-2.8917 -2.0625 -2.1086
6.3670 -5.4440 0.6391
-3.4350 -3.1075 7.7504
Zn Tb Pt
10 4 2
direct
0.6478 0.2955 0.0209 Zn
0.6064 0.2127 0.7500 Zn
0.6478 0.2955 0.4791 Zn
0.1938 0.3877 0.8910 Zn
0.3522 0.7045 0.9791 Zn
0.3936 0.7873 0.2500 Zn
0.8062 0.6123 0.3910 Zn
0.3522 0.7045 0.5209 Zn
0.1938 0.3877 0.6090 Zn
0.8062 0.6123 0.1090 Zn
0.0000 0.0000 0.5000 Tb
0.8137 0.6275 0.7500 Tb
0.0000 0.0000 0.0000 Tb
0.1863 0.3725 0.2500 Tb
0.4494 0.8987 0.7500 Pt
0.5506 0.1013 0.2500 Pt

=====

TbZnPt3 (PBE-GGA, optimized geometry); density of states at the Fermi level = 4.65 states/eV per cell; calculated formation energy = -0.432 eV per atom; calculated volume = 200.8 Å³/cell; magnetic moment = 0.0 Bohr magnetons per cell; space-group type = Pbam
1.0
-3.0975 -3.9512 -0.4000
0.5065 -0.9760 5.7187
-5.3651 4.0871 1.1727
Zn Pt Tb
2 6 2
direct
0.0000 0.5000 0.0000 Zn
0.0000 0.0000 0.5000 Zn
0.0000 0.3690 0.6650 Pt
0.0000 0.6310 0.3350 Pt
0.0000 0.1310 0.1650 Pt
0.0000 0.8690 0.8350 Pt
0.5000 0.5000 0.0000 Pt
0.5000 0.0000 0.5000 Pt
0.5000 0.0000 0.0000 Tb
0.5000 0.5000 0.5000 Tb

=====

TbZn4Pt2 (PBE-GGA, optimized geometry); density of states at the Fermi level = 5.07 states/eV per cell; calculated formation energy = -0.661 eV per atom; calculated volume = 242.1 Å³/cell; magnetic moment = 0.0 Bohr magnetons per cell; space-group type = P4_2/mnm
1.0
-0.0834 2.1735 -3.7012
2.8266 -5.9720 -3.5708
-6.9566 -2.5063 -1.3150
Pt Tb Zn
4 2 8
direct
0.0000 0.2140 0.7860 Pt
0.5000 0.2860 0.2860 Pt
0.0000 0.7860 0.2140 Pt
0.5000 0.7140 0.7140 Pt
0.0000 0.5000 0.5000 Tb
0.5000 0.0000 0.0000 Tb
0.5000 0.8533 0.4004 Zn
0.5000 0.1467 0.5996 Zn
0.0000 0.0996 0.3533 Zn
0.0000 0.6467 0.9004 Zn
0.0000 0.9004 0.6467 Zn
0.0000 0.3533 0.0996 Zn
0.5000 0.5996 0.1467 Zn
0.5000 0.4004 0.8533 Zn

=====

Tb2ZnPt3 (PBE-GGA, optimized geometry); density of states at the Fermi level = 7.12 states/eV per cell; calculated formation energy = -0.971 eV per atom; excess energy over the best structure of this formula in the dataset = 80.6 meV/atom; calculated volume = 245.6 Å³/cell; magnetic moment = 0.0 Bohr magnetons per cell; space-group type = Fmmm
1.0
-0.6331 -4.8036 3.0543
0.5832 -1.9251 -5.3626
7.6457 2.9756 2.1225
Pt Zn Tb
6 2 4
direct
0.8286 0.8286 0.6572 Pt
0.1730 0.6536 0.8266 Pt
0.3464 0.8270 0.1734 Pt
0.8270 0.3464 0.1734 Pt
0.6536 0.1730 0.8266 Pt
0.1714 0.1714 0.3428 Pt
0.3332 0.3332 0.6665 Zn
0.6668 0.6668 0.3335 Zn
0.7500 0.2500 0.5000 Tb
0.2475 0.2475 0.0000 Tb
0.2500 0.7500 0.5000 Tb
0.7525 0.7525 0.0000 Tb

=====

TbZn2Pt3 (PBE-GGA, optimized geometry); density of states at the Fermi level = 2.53 states/eV per cell; calculated formation energy = -0.838 eV per atom; calculated volume = 208.0 Å³/cell; magnetic moment = 0.0 Bohr magnetons per cell; space-group type = P6_3/mmc
1.0
-2.6905 -1.9636 -2.8989
-0.3189 -0.9478 4.3010
-8.1633 9.1137 1.4031
Zn Pt Tb
4 6 2
direct
0.6667 0.3333 0.4175 Zn
0.3333 0.6667 0.5825 Zn
0.3333 0.6667 0.9175 Zn
0.6667 0.3333 0.0825 Zn
0.3333 0.6667 0.3704 Pt
0.0000 0.0000 0.5000 Pt
0.6667 0.3333 0.6296 Pt
0.3333 0.6667 0.1296 Pt
0.6667 0.3333 0.8704 Pt
0.0000 0.0000 0.0000 Pt
0.0000 0.0000 0.2500 Tb
0.0000 0.0000 0.7500 Tb

=====

Tb3Zn3Pt (PBE-GGA, optimized geometry); density of states at the Fermi level = 5.73 states/eV per cell; calculated formation energy = -0.571 eV per atom; calculated volume = 156.6 Å³/cell; magnetic moment = 0.0 Bohr magnetons per cell; space-group type = Imm2
1.0
-1.7654 -1.7095 3.7463
-2.2111 -2.1244 -2.0114
8.5980 -4.9464 -0.8846
Tb Pt Zn
3 1 3
direct
0.6926 0.1926 0.3853 Tb
0.3166 0.8166 0.6332 Tb
0.9920 0.9920 0.9840 Tb
0.4331 0.4331 0.8662 Pt
0.1398 0.6398 0.2796 Zn
0.8579 0.3579 0.7158 Zn
0.5679 0.5679 0.1359 Zn

=====

Tb3ZnPt8 (PBE-GGA, optimized geometry); density of states at the Fermi level = 6.52 states/eV per cell; calculated formation energy = -0.965 eV per atom; calculated volume = 224.0 Å³/cell; magnetic moment = 0.0 Bohr magnetons per cell; space-group type = R3m
1.0
5.4144 0.0000 0.0000
2.7072 4.6890 0.0000
2.7072 1.5630 8.8238
Pt Tb Zn
8 3 1
direct
0.9387 0.4376 0.6850 Pt
0.4376 0.9387 0.6850 Pt
0.9422 0.4379 0.1820 Pt
0.1893 0.1893 0.4321 Pt
0.4379 0.4379 0.1820 Pt
0.6889 0.6889 0.9333 Pt
0.4379 0.9422 0.1820 Pt
0.9387 0.9387 0.6850 Pt
0.9897 0.9897 0.0308 Tb
0.3785 0.3785 0.8645 Tb
0.5080 0.5080 0.4761 Tb
0.8626 0.8626 0.4122 Zn